Crystalline BeV4Ge2 at its relaxed geometry. Source: the Alexandria database, functional PBE.

a b c (Å): 4.794 6.003 7.398
angles (deg): 76.49 71.15 66.55
Fractional positions:
Be  0.181  0.085  0.049
Be  0.819  0.915  0.951
V  0.003  0.226  0.760
V  0.035  0.794  0.635
V  0.442  0.740  0.877
V  0.490  0.774  0.239
V  0.510  0.226  0.761
V  0.558  0.260  0.123
V  0.965  0.206  0.365
V  0.997  0.774  0.240
Ge  0.000  0.500  0.000
Ge  0.310  0.438  0.443
Ge  0.500  0.000  0.500
Ge  0.690  0.562  0.557

crystal system	triclinic
formation energy	-117	kJ/mol of formula units
V	91.75	Å³/f.u.
distance to the lowest polymorph of the same formula	0.0	meV/atom
VASP energy	-101.3	eV per cell